# Na8HBr4Cl3

Crystalline Na8HBr4Cl3 at its relaxed geometry (PBE, the Alexandria database).

Structure (POSCAR):
```
Na8HBr4Cl3
1.0
4.100 2.367 6.701
-4.100 2.367 6.701
0.000 -4.735 6.701
Na H Br Cl
8 1 4 3
Cartesian
0.000 0.000 4.937
-1.993 -1.151 11.598
0.000 -2.301 8.506
-1.993 1.151 8.506
1.993 -1.151 11.598
0.000 2.301 11.598
1.993 1.151 8.506
0.000 0.000 15.167
0.000 0.000 10.052
0.000 0.000 0.000
-2.050 -1.184 6.701
-2.050 1.184 13.402
0.000 2.367 6.701
-4.100 0.000 10.052
-2.050 1.184 3.351
2.050 1.184 3.351
```

The raw total energy is -3.088 eV per atom. Its space group is No. 166. The calculation puts the volume at 24.39 Å³ per atom. The density is 2.6 g cm⁻³. As for the magnetization: 0.003 μB/atom.

# Na6H2BrCl3

Crystalline Na6H2BrCl3 at its relaxed geometry (PBE, the Alexandria database).

Structure (POSCAR):
```
Na6H2BrCl3
1.0
3.395 -5.880 0.000
3.395 5.880 0.000
-2.275 0.000 6.409
Na H Br Cl
6 2 1 3
Cartesian
-0.099 2.115 4.900
0.958 0.000 1.522
-0.099 -2.115 4.900
4.613 2.115 1.509
3.556 0.000 4.887
4.613 -2.115 1.509
3.395 3.914 0.000
3.395 -3.914 0.000
3.395 0.000 0.000
-1.138 0.000 3.204
2.257 1.929 3.204
2.257 -1.929 3.204
```

The raw total energy is -3.003 eV per atom. Its space group is No. 12. The calculation puts the volume at 21.32 Å³ per atom. The density is 2.1 g cm⁻³. As for the magnetization: 0.000 μB/atom.

> What is the raw total energy in the second record?

-3.003 eV per atom